BeCo2P: optimized geometry, GGA-PBE.

Energy relative to the elements (eV/atom): -0.26
Calculated volume (Å³/cell): 40

Geometry as extended XYZ:
```
4
Lattice="2.619 0.000 0.000 0.000 3.287 0.000 0.000 0.000 4.618" Properties=species:S:1:pos:R:3 pbc="T T T"
Be 0.000 0.000 0.000
Co 0.000 0.000 2.329
Co 1.309 1.644 0.814
P 1.309 1.644 3.237
```